Version 1
DFT (GGA-PBE) results for an optimized crystal structure of MgZnSN2.

Calculated values
* SG: P4/mmm

Unit cell a=3.9794 b=3.9794 c=5.3110 alpha=90.00 beta=90.00 gamma=90.00
Fractional coordinates of all 5 atoms:
1 Mg 0.0000 0.0000 0.0000
2 Zn 0.5000 0.5000 0.5000
3 S 0.0000 0.0000 0.5000
4 N 0.0000 0.5000 0.0000
5 N 0.5000 0.0000 0.0000

=====

Version 2
DFT (GGA-PBE) results for an optimized crystal structure of MgZnSN2.

Calculated values
* SG: P4/mmm

Unit cell a=3.8340 b=3.8340 c=5.4100 alpha=90.00 beta=90.00 gamma=90.00
Fractional coordinates of all 5 atoms:
1 Mg 0.5000 0.5000 0.5000
2 Zn 0.0000 0.0000 0.0000
3 S 0.0000 0.0000 0.5000
4 N 0.0000 0.5000 0.0000
5 N 0.5000 0.0000 0.0000

=====

Energetically preferred structure: version 2 | next structure: +24.9 kJ/mol of atoms

=====

Version 1
DFT (GGA-PBE) results for an optimized crystal structure of MgZrS2N.

Calculated values
* SG: P4/mmm

Unit cell a=5.0804 b=5.0804 c=4.0726 alpha=90.00 beta=90.00 gamma=90.00
Fractional coordinates of all 5 atoms:
1 S 0.0000 0.5000 0.0000
2 S 0.5000 0.0000 0.0000
3 Mg 0.5000 0.5000 0.5000
4 Zr 0.0000 0.0000 0.0000
5 N 0.0000 0.0000 0.5000

=====

Version 2
DFT (GGA-PBE) results for an optimized crystal structure of MgZrS2N.

Calculated values
* SG: P4/mmm

Unit cell a=4.7338 b=4.7338 c=3.8272 alpha=90.00 beta=90.00 gamma=90.00
Fractional coordinates of all 5 atoms:
1 S 0.0000 0.5000 0.0000
2 S 0.5000 0.0000 0.0000
3 Mg 0.0000 0.0000 0.0000
4 Zr 0.5000 0.5000 0.5000
5 N 0.0000 0.0000 0.5000

=====

Energetically preferred structure: version 1 | next structure: +48.8 kJ/mol of atoms

=====

Version 1
DFT (GGA-PBE) results for an optimized crystal structure of Mg4Sb2N.

Calculated values
* SG: C2/m

Unit cell a=3.2828 b=7.5121 c=7.8354 alpha=131.38 beta=102.09 gamma=90.00
Fractional coordinates of all 7 atoms:
1 Mg 0.9541 0.2181 0.9082
2 Mg 0.0459 0.7819 0.0918
3 Mg 0.6232 0.2169 0.2463
4 Mg 0.3768 0.7831 0.7537
5 Sb 0.6739 0.6701 0.3479
6 Sb 0.3261 0.3299 0.6521
7 N 0.0000 0.0000 0.0000

=====

Version 2
DFT (GGA-PBE) results for an optimized crystal structure of Mg4Sb2N.

Calculated values
* SG: Cmmm

Unit cell a=4.3329 b=4.2565 c=7.8936 alpha=105.64 beta=90.00 gamma=90.00
Fractional coordinates of all 7 atoms:
1 Mg 0.0000 0.5000 0.0000
2 Mg 0.5000 0.0000 0.0000
3 Mg 0.0000 0.1431 0.2863
4 Mg 0.0000 0.8569 0.7137
5 Sb 0.5000 0.3461 0.6922
6 Sb 0.5000 0.6539 0.3078
7 N 0.0000 0.0000 0.0000

=====

Energetically preferred structure: version 1 | next structure: +2.0 kJ/mol of atoms